First-principles (GGA-PBE) data for a relaxed structure of LiPmMgCd, as listed in the Alexandria database.

a b c (Å): 5.106 5.106 5.106
angles (deg): 60.00 60.00 60.00
Fractional positions:
Pm1 0.000 0.000 0.000
Li1 0.750 0.750 0.750
Cd1 0.250 0.250 0.250
Mg1 0.500 0.500 0.500

Computed properties:
- Final energy: -10.07 eV/f.u.
- DFT formation energy: -0.223 eV per atom